{"formula": "YTa", "functional": "GGA-PBE", "state": "relaxed", "e_tot_ev_per_cell": -28.0, "formation_energy_mev_per_atom": 2158, "sg": "P6_3/mmc", "e_above_lowest_polymorph_ev_per_fu": 3.95, "dos_ef_per_ev_fu": 3.95, "cell": [[5.221, 0.000, 0.000], [-2.610, 4.521, 0.000], [0.000, 0.000, 5.664]], "species": ["Y", "Y", "Ta", "Ta"], "fractional_positions": [[0.333, 0.667, 0.250], [0.667, 0.333, 0.750], [0.333, 0.667, 0.750], [0.667, 0.333, 0.250]]}

{"formula": "Y2Ta", "functional": "GGA-PBE", "state": "relaxed", "e_tot_ev_per_cell": -23.8, "formation_energy_mev_per_atom": 314, "sg": "I4/mmm", "e_above_lowest_polymorph_ev_per_fu": 0.32, "dos_ef_per_ev_fu": 4.48, "cell": [[-1.619, 1.619, 7.637], [1.619, -1.619, 7.637], [1.619, 1.619, -7.637]], "species": ["Y", "Y", "Ta"], "fractional_positions": [[0.145, 0.145, 0.000], [0.855, 0.855, 0.000], [0.500, 0.500, 0.000]]}

{"formula": "Y2Ta", "functional": "GGA-PBE", "state": "relaxed", "e_tot_ev_per_cell": -47.0, "formation_energy_mev_per_atom": 426, "sg": "P6_3/mmc", "e_above_lowest_polymorph_ev_per_fu": 0.66, "dos_ef_per_ev_fu": 4.74, "cell": [[5.179, 0.000, 0.000], [-2.590, 4.485, 0.000], [0.000, 0.000, 6.701]], "species": ["Y", "Y", "Y", "Y", "Ta", "Ta"], "fractional_positions": [[0.000, 0.000, 0.000], [0.000, 0.000, 0.500], [0.333, 0.667, 0.250], [0.667, 0.333, 0.750], [0.333, 0.667, 0.750], [0.667, 0.333, 0.250]]}

{"formula": "Y3Ta4", "functional": "GGA-PBE", "state": "relaxed", "e_tot_ev_per_cell": -65.4, "formation_energy_mev_per_atom": 207, "sg": "I4/mmm", "e_above_lowest_polymorph_ev_per_fu": 0.00, "dos_ef_per_ev_fu": 6.13, "cell": [[-1.776, 1.776, 13.466], [1.776, -1.776, 13.466], [1.776, 1.776, -13.466]], "species": ["Y", "Y", "Y", "Ta", "Ta", "Ta", "Ta"], "fractional_positions": [[0.000, 0.000, 0.000], [0.303, 0.303, 0.000], [0.697, 0.697, 0.000], [0.122, 0.122, 0.000], [0.421, 0.421, 0.000], [0.579, 0.579, 0.000], [0.878, 0.878, 0.000]]}

{"formula": "YTa", "functional": "GGA-PBE", "state": "relaxed", "e_tot_ev_per_cell": -53.2, "formation_energy_mev_per_atom": 296, "sg": "Cm", "e_above_lowest_polymorph_ev_per_fu": 0.23, "dos_ef_per_ev_fu": 2.35, "cell": [[5.876, -1.804, 0.000], [5.876, 1.804, 0.000], [-2.232, 0.000, 7.027]], "species": ["Y", "Y", "Y", "Ta", "Ta", "Ta"], "fractional_positions": [[0.000, 0.000, 0.000], [0.010, 0.010, 0.489], [0.707, 0.707, 0.850], [0.321, 0.321, 0.598], [0.329, 0.329, 0.204], [0.698, 0.698, 0.331]]}

{"formula": "YTa", "functional": "GGA-PBE", "state": "relaxed", "e_tot_ev_per_cell": -60.8, "formation_energy_mev_per_atom": 1563, "sg": "I-43m", "e_above_lowest_polymorph_ev_per_fu": 2.76, "dos_ef_per_ev_fu": 3.87, "cell": [[-4.444, 4.444, 4.444], [4.444, -4.444, 4.444], [4.444, 4.444, -4.444]], "species": ["Y", "Y", "Y", "Y", "Ta", "Ta", "Ta", "Ta"], "fractional_positions": [[0.000, 0.000, 0.577], [0.000, 0.577, 0.000], [0.423, 0.423, 0.423], [0.577, 0.000, 0.000], [0.000, 0.000, 0.208], [0.000, 0.208, 0.000], [0.208, 0.000, 0.000], [0.792, 0.792, 0.792]]}

{"formula": "YTa", "functional": "GGA-PBE", "state": "relaxed", "e_tot_ev_per_cell": -140.4, "formation_energy_mev_per_atom": 382, "sg": "Pnma", "e_above_lowest_polymorph_ev_per_fu": 0.40, "dos_ef_per_ev_fu": 2.21, "cell": [[7.395, 0.000, 0.000], [0.000, 5.085, 0.000], [0.000, 0.000, 10.368]], "species": ["Y", "Y", "Y", "Y", "Y", "Y", "Y", "Y", "Ta", "Ta", "Ta", "Ta", "Ta", "Ta", "Ta", "Ta"], "fractional_positions": [[0.097, 0.250, 0.244], [0.158, 0.750, 0.487], [0.342, 0.250, 0.987], [0.403, 0.750, 0.744], [0.597, 0.250, 0.256], [0.658, 0.750, 0.013], [0.842, 0.250, 0.513], [0.903, 0.750, 0.756], [0.080, 0.750, 0.042], [0.150, 0.250, 0.716], [0.350, 0.750, 0.216], [0.420, 0.250, 0.542], [0.580, 0.750, 0.458], [0.650, 0.250, 0.784], [0.850, 0.750, 0.284], [0.920, 0.250, 0.958]]}

{"formula": "Y2Ta", "functional": "GGA-PBE", "state": "relaxed", "e_tot_ev_per_cell": -71.4, "formation_energy_mev_per_atom": 329, "sg": "P-62m", "e_above_lowest_polymorph_ev_per_fu": 0.37, "dos_ef_per_ev_fu": 3.31, "cell": [[8.969, 0.000, 0.000], [-4.484, 7.767, 0.000], [0.000, 0.000, 3.346]], "species": ["Y", "Y", "Y", "Y", "Y", "Y", "Ta", "Ta", "Ta"], "fractional_positions": [[0.000, 0.303, 0.000], [0.000, 0.637, 0.500], [0.303, 0.000, 0.000], [0.363, 0.363, 0.500], [0.637, 0.000, 0.500], [0.697, 0.697, 0.000], [0.000, 0.000, 0.500], [0.333, 0.667, 0.000], [0.667, 0.333, 0.000]]}

{"formula": "Y5Ta", "functional": "GGA-PBE", "state": "relaxed", "e_tot_ev_per_cell": -42.9, "formation_energy_mev_per_atom": 212, "sg": "P-62m", "e_above_lowest_polymorph_ev_per_fu": 0.06, "dos_ef_per_ev_fu": 10.44, "cell": [[6.092, 0.000, 0.000], [-3.046, 5.276, 0.000], [0.000, 0.000, 5.397]], "species": ["Y", "Y", "Y", "Y", "Y", "Ta"], "fractional_positions": [[0.000, 0.690, 0.000], [0.310, 0.310, 0.000], [0.333, 0.667, 0.500], [0.667, 0.333, 0.500], [0.690, 0.000, 0.000], [0.000, 0.000, 0.500]]}

{"formula": "YTa8", "functional": "GGA-PBE", "state": "relaxed", "e_tot_ev_per_cell": -98.3, "formation_energy_mev_per_atom": 329, "sg": "I4/mmm", "dos_ef_per_ev_fu": 11.75, "cell": [[-4.276, 4.276, 2.398], [4.276, -4.276, 2.398], [4.276, 4.276, -2.398]], "species": ["Y", "Ta", "Ta", "Ta", "Ta", "Ta", "Ta", "Ta", "Ta"], "fractional_positions": [[0.000, 0.000, 0.000], [0.000, 0.341, 0.341], [0.000, 0.659, 0.659], [0.327, 0.327, 0.653], [0.327, 0.673, 0.000], [0.341, 0.000, 0.341], [0.659, 0.000, 0.659], [0.673, 0.327, 0.000], [0.673, 0.673, 0.347]]}

{"formula": "Y2Ta", "functional": "GGA-PBE", "state": "relaxed", "e_tot_ev_per_cell": -47.4, "formation_energy_mev_per_atom": 355, "sg": "I4_1/amd", "e_above_lowest_polymorph_ev_per_fu": 0.45, "dos_ef_per_ev_fu": 3.98, "cell": [[-1.610, 1.610, 15.748], [1.610, -1.610, 15.748], [1.610, 1.610, -15.748]], "species": ["Y", "Y", "Y", "Y", "Ta", "Ta"], "fractional_positions": [[0.305, 0.555, 0.750], [0.445, 0.695, 0.750], [0.555, 0.305, 0.250], [0.695, 0.445, 0.250], [0.125, 0.875, 0.250], [0.875, 0.125, 0.750]]}

{"formula": "YTa3", "functional": "GGA-PBE", "state": "relaxed", "e_tot_ev_per_cell": -80.5, "formation_energy_mev_per_atom": 442, "sg": "Cmcm", "e_above_lowest_polymorph_ev_per_fu": 0.79, "dos_ef_per_ev_fu": 3.65, "cell": [[3.082, -5.885, 0.000], [3.082, 5.885, 0.000], [0.000, 0.000, 4.642]], "species": ["Y", "Y", "Ta", "Ta", "Ta", "Ta", "Ta", "Ta"], "fractional_positions": [[0.081, 0.919, 0.750], [0.919, 0.081, 0.250], [0.099, 0.456, 0.750], [0.422, 0.578, 0.250], [0.456, 0.099, 0.250], [0.544, 0.901, 0.750], [0.578, 0.422, 0.750], [0.901, 0.544, 0.250]]}

{"formula": "YTa3", "functional": "GGA-PBE", "state": "relaxed", "e_tot_ev_per_cell": -161.0, "formation_energy_mev_per_atom": 443, "sg": "Pnma", "e_above_lowest_polymorph_ev_per_fu": 0.79, "dos_ef_per_ev_fu": 4.97, "cell": [[5.272, 0.000, 0.000], [0.000, 10.416, 0.000], [0.000, 0.000, 6.123]], "species": ["Y", "Y", "Y", "Y", "Ta", "Ta", "Ta", "Ta", "Ta", "Ta", "Ta", "Ta", "Ta", "Ta", "Ta", "Ta"], "fractional_positions": [[0.036, 0.250, 0.131], [0.464, 0.750, 0.631], [0.536, 0.250, 0.369], [0.964, 0.750, 0.869], [0.066, 0.250, 0.651], [0.226, 0.516, 0.364], [0.226, 0.984, 0.364], [0.274, 0.016, 0.864], [0.274, 0.484, 0.864], [0.434, 0.750, 0.151], [0.566, 0.250, 0.849], [0.726, 0.516, 0.136], [0.726, 0.984, 0.136], [0.774, 0.016, 0.636], [0.774, 0.484, 0.636], [0.934, 0.750, 0.349]]}

{"formula": "YTa", "functional": "GGA-PBE", "state": "relaxed", "e_tot_ev_per_cell": -34.7, "formation_energy_mev_per_atom": 472, "sg": "Fd-3m", "e_above_lowest_polymorph_ev_per_fu": 0.58, "dos_ef_per_ev_fu": 2.91, "cell": [[0.000, 3.583, 3.583], [3.583, 0.000, 3.583], [3.583, 3.583, 0.000]], "species": ["Y", "Y", "Ta", "Ta"], "fractional_positions": [[0.125, 0.125, 0.125], [0.875, 0.875, 0.875], [0.375, 0.375, 0.375], [0.625, 0.625, 0.625]]}

{"formula": "YTa4Zn", "functional": "GGA-PBE", "state": "relaxed", "e_tot_ev_per_cell": -52.9, "formation_energy_mev_per_atom": 379, "sg": "F-43m", "dos_ef_per_ev_fu": 7.41, "cell": [[0.000, 3.968, 3.968], [3.968, 0.000, 3.968], [3.968, 3.968, 0.000]], "species": ["Y", "Ta", "Ta", "Ta", "Ta", "Zn"], "fractional_positions": [[0.000, 0.000, 0.000], [0.373, 0.373, 0.373], [0.373, 0.373, 0.881], [0.373, 0.881, 0.373], [0.881, 0.373, 0.373], [0.750, 0.750, 0.750]]}

{"formula": "Y2TaZn", "functional": "GGA-PBE", "state": "relaxed", "e_tot_ev_per_cell": -25.2, "formation_energy_mev_per_atom": 203, "sg": "P4/mmm", "dos_ef_per_ev_fu": 6.26, "cell": [[5.371, 0.000, 0.000], [0.000, 5.371, 0.000], [0.000, 0.000, 3.256]], "species": ["Y", "Y", "Ta", "Zn"], "fractional_positions": [[0.000, 0.500, 0.000], [0.500, 0.000, 0.000], [0.000, 0.000, 0.500], [0.500, 0.500, 0.500]]}

{"formula": "YTa3Zn", "functional": "GGA-PBE", "state": "relaxed", "e_tot_ev_per_cell": -31.3, "formation_energy_mev_per_atom": 2408, "sg": "Pm-3m", "e_above_lowest_polymorph_ev_per_fu": 6.53, "dos_ef_per_ev_fu": 5.02, "cell": [[4.935, 0.000, 0.000], [0.000, 4.935, 0.000], [0.000, 0.000, 4.935]], "species": ["Y", "Ta", "Ta", "Ta", "Zn"], "fractional_positions": [[0.000, 0.000, 0.000], [0.000, 0.000, 0.500], [0.000, 0.500, 0.000], [0.500, 0.000, 0.000], [0.500, 0.500, 0.500]]}

{"formula": "Y4TaZn", "functional": "GGA-PBE", "state": "relaxed", "e_tot_ev_per_cell": -34.3, "formation_energy_mev_per_atom": 782, "sg": "F-43m", "dos_ef_per_ev_fu": 3.75, "cell": [[0.000, 4.329, 4.329], [4.329, 0.000, 4.329], [4.329, 4.329, 0.000]], "species": ["Y", "Y", "Y", "Y", "Ta", "Zn"], "fractional_positions": [[0.376, 0.376, 0.376], [0.376, 0.376, 0.871], [0.376, 0.871, 0.376], [0.871, 0.376, 0.376], [0.750, 0.750, 0.750], [0.000, 0.000, 0.000]]}

{"formula": "Y2TaZn", "functional": "GGA-PBE", "state": "relaxed", "e_tot_ev_per_cell": -25.5, "formation_energy_mev_per_atom": 140, "sg": "Amm2", "dos_ef_per_ev_fu": 4.14, "cell": [[4.822, 0.000, 0.000], [0.000, 1.668, 5.935], [0.000, -1.668, 5.935]], "species": ["Y", "Y", "Ta", "Zn"], "fractional_positions": [[0.000, 0.000, 0.000], [0.500, 0.314, 0.314], [0.000, 0.721, 0.721], [0.500, 0.594, 0.594]]}

{"formula": "Y2TaZn", "functional": "GGA-PBE", "state": "relaxed", "e_tot_ev_per_cell": -25.5, "formation_energy_mev_per_atom": 128, "sg": "P4mm", "dos_ef_per_ev_fu": 4.00, "cell": [[3.371, 0.000, 0.000], [0.000, 3.371, 0.000], [0.000, 0.000, 8.394]], "species": ["Y", "Y", "Ta", "Zn"], "fractional_positions": [[0.000, 0.000, 0.000], [0.500, 0.500, 0.353], [0.500, 0.500, 0.752], [0.000, 0.000, 0.583]]}